Material: Ta2CoPb
Method: DFT, PBE-GGA
State: optimized geometry

## Properties
calculated volume: 17.55 Å³/atom
DFT formation energy: 0.3424 eV per atom
DFT total energy: -33.150 eV per formula unit

Cell: 5.2369 5.2369 5.2369 Å, 135.24 135.24 65.16°
Last column: nearest neighbours and their distance in Å.
Element x y z (fractional)
Ta 0.0000 0.0000 0.0000  4 Ta 2.82, 4 Pb 2.97, 4 Co 2.97
Ta 0.5000 0.5000 0.0000  4 Ta 2.82, 4 Pb 2.97, 4 Co 2.97
Pb 0.7500 0.2500 0.5000  4 Co 2.82, 8 Ta 2.97
Co 0.2500 0.7500 0.5000  4 Pb 2.82, 8 Ta 2.97